1.
First-principles (PBE) data for a relaxed Pr8ZnRh2 crystal, as listed in Alexandria.

Summary:
* formation energy from the elements: -0.21 eV per atom

abc: 8.609 13.202 6.229
angles: 90.00 105.96 90.00
Space group Cm (No. 8)
Inequivalent atoms, fractional coordinates:
Pr (0.000, 0.000, 0.000)
Pr (0.085, 0.367, 0.814)
Pr (0.166, 0.131, 0.596)
Pr (0.236, 0.500, 0.390)
Pr (0.380, 0.228, 0.200)
Zn (0.373, 0.000, 0.045)
Rh (0.376, 0.310, 0.700)

2.
First-principles (PBE) data for a relaxed SmGa2Hg crystal, as listed in Alexandria.

Summary:
* formation energy from the elements: -0.44 eV per atom
* relative energy among the computed polymorphs: 0 kJ/mol of formula units

abc: 4.505 4.505 4.331
angles: 90.00 90.00 90.00
Space group P4/mmm (No. 123)
Inequivalent atoms, fractional coordinates:
Sm (0.000, 0.000, 0.000)
Ga (0.000, 0.500, 0.500)
Hg (0.500, 0.500, 0.000)

3.
First-principles (PBE) data for a relaxed Zr2ScTa crystal, as listed in Alexandria.

Summary:
* formation energy from the elements: 0.16 eV per atom

abc: 3.075 4.523 6.301
angles: 90.00 90.00 90.00
Space group Pmmm (No. 47)
Inequivalent atoms, fractional coordinates:
Zr (0.000, 0.000, 0.237)
Sc (0.500, 0.500, 0.500)
Ta (0.500, 0.500, 0.000)